# 1
# CaDyAgIr

A relaxed structure of CaDyAgIr (PBE, the Alexandria database).

```
CaDyAgIr
1.0
4.9665 0.0000 0.0000
2.4833 4.3012 0.0000
2.4833 1.4337 4.0552
Dy Ir Ag Ca
1 1 1 1
direct
0.0000 0.0000 0.0000 Dy
0.7500 0.7500 0.7500 Ir
0.2500 0.2500 0.2500 Ag
0.5000 0.5000 0.5000 Ca
```

Properties
Its density of states at the Fermi level is 3.150 states/eV/cell. The energy above the most stable polymorph in this dataset is 40 meV per atom. For the formation energy, the calculation gives -0.44 eV/atom.

=====

# 2
# Sm2DyEr6Tm

A relaxed structure of Sm2DyEr6Tm (PBE, the Alexandria database).

```
Sm2DyEr6Tm
1.0
-1.0817 5.0174 -8.0706
5.9525 -5.3862 -3.3508
-8.2727 -2.6789 0.2389
Er Sm Dy Tm
12 4 2 2
direct
0.1192 0.7086 0.4968 Er
0.0572 0.1259 0.7463 Er
0.9428 0.8741 0.2537 Er
0.6865 0.0204 0.5738 Er
0.3808 0.5032 0.2914 Er
0.8135 0.4262 0.9796 Er
0.6192 0.4968 0.7086 Er
0.4428 0.2537 0.8741 Er
0.3135 0.9796 0.4262 Er
0.1865 0.5738 0.0204 Er
0.8808 0.2914 0.5032 Er
0.5572 0.7463 0.1259 Er
0.0434 0.2994 0.1951 Sm
0.4566 0.8049 0.7006 Sm
0.5434 0.1951 0.2994 Sm
0.9566 0.7006 0.8049 Sm
0.7500 0.0196 0.9804 Dy
0.2500 0.9804 0.0196 Dy
0.2500 0.4075 0.5925 Tm
0.7500 0.5925 0.4075 Tm
```

Properties
Its density of states at the Fermi level is 26.280 states/eV/cell. For the formation energy, the calculation gives 0.12 eV/atom.

=====

# 3
# YMg2Rh2

A relaxed structure of YMg2Rh2 (PBE, the Alexandria database).

```
YMg2Rh2
1.0
3.2604 0.0000 0.0000
0.0000 3.2396 0.6138
0.0000 -0.0904 9.3331
Rh Mg Y
2 2 1
direct
0.5000 0.5980 0.8039 Rh
0.5000 0.4020 0.1961 Rh
0.0000 0.8246 0.3508 Mg
0.0000 0.1754 0.6492 Mg
0.0000 0.0000 0.0000 Y
```

Properties
Its density of states at the Fermi level is 1.701 states/eV/cell. The energy above the most stable polymorph in this dataset is 34 meV per atom. For the formation energy, the calculation gives -0.51 eV/atom.

=====

# 4
# TaNi2H4

A relaxed structure of TaNi2H4 (PBE, the Alexandria database).

```
TaNi2H4
1.0
4.7605 1.0708 -1.9544
-1.8120 4.5305 -1.9545
-0.5658 -1.0748 5.1129
H Ni Ta
8 4 2
direct
0.8510 0.5537 0.7027 H
0.3991 0.6016 0.2027 H
0.8509 0.1483 0.2972 H
0.8517 0.1492 0.7028 H
0.3989 0.1964 0.7972 H
0.4464 0.1489 0.2972 H
0.3983 0.6009 0.7973 H
0.8037 0.6010 0.2028 H
0.6250 0.3750 0.7500 Ni
0.6250 0.3750 0.2500 Ni
0.1250 0.3750 0.7500 Ni
0.6250 0.8750 0.2500 Ni
0.0000 0.0000 0.0000 Ta
0.2500 0.7500 0.5000 Ta
```

Properties
Its density of states at the Fermi level is 5.264 states/eV/cell. For the electronic total energy, the calculation gives -5.228 eV per atom.

=====

# 5
# ZrAg2Cl

A relaxed structure of ZrAg2Cl (PBE, the Alexandria database).

```
ZrAg2Cl
1.0
-6.9586 3.0581 -5.0703
-8.2876 3.2035 -2.1298
-6.4453 5.6350 -3.1916
Cl Zr Ag
1 1 2
direct
0.2500 0.2500 0.2500 Cl
0.7500 0.7500 0.7500 Zr
0.9950 0.9950 0.9950 Ag
0.5050 0.5050 0.5050 Ag
```

Properties
Its density of states at the Fermi level is 2.812 states/eV/cell. The energy above the most stable polymorph in this dataset is 312 meV per atom. The calculation puts the raw formation energy at -89.6 meV/atom.

=====

# 6
# Cs7LiAu5O2

A relaxed structure of Cs7LiAu5O2 (PBE, the Alexandria database).

```
Cs7LiAu5O2
1.0
4.9883 9.2472 -0.0473
-4.9883 9.2472 -0.0473
0.0000 1.5547 6.0152
O Au Cs Li
2 5 7 1
direct
0.7947 0.2036 0.9745 O
0.2036 0.7947 0.9745 O
0.7841 0.7841 0.6392 Au
0.6653 0.6653 0.4168 Au
0.9982 0.9982 0.9768 Au
0.1844 0.1844 0.3293 Au
0.3650 0.3650 0.6156 Au
0.7891 0.2476 0.4611 Cs
0.9638 0.3797 0.8358 Cs
0.0808 0.5897 0.1906 Cs
0.5095 0.5095 0.9598 Cs
0.2476 0.7891 0.4611 Cs
0.3797 0.9638 0.8358 Cs
0.5897 0.0808 0.1906 Cs
0.8944 0.8944 0.7945 Li
```

Properties
Its density of states at the Fermi level is 3.885 states/eV/cell. The energy above the most stable polymorph in this dataset is 47 meV per atom. The calculation puts the raw formation energy at -540.8 meV/atom.

=====

# 7
# TbUTc

A relaxed structure of TbUTc (PBE, the Alexandria database).

```
TbUTc
1.0
3.4610 0.0000 0.0000
-1.7305 2.9973 0.0000
0.0000 0.0000 6.6188
U Tb Tc
1 1 1
direct
0.6667 0.3333 0.3866 U
0.0000 0.0000 0.9892 Tb
0.3333 0.6667 0.6242 Tc
```

Properties
Its density of states at the Fermi level is 5.503 states/eV/cell. The energy above the most stable polymorph in this dataset is 228 meV per atom. For the formation energy, the calculation gives 0.24 eV/atom.

=====

# 8
# CeErZnRh

A relaxed structure of CeErZnRh (PBE, the Alexandria database).

```
CeErZnRh
1.0
-4.2955 -0.2444 2.4840
-3.6729 -2.8995 -1.6687
-1.2119 -4.1396 2.4650
Rh Er Zn Ce
1 1 1 1
direct
0.5000 0.5000 0.5000 Rh
0.7500 0.7500 0.7500 Er
0.0000 0.0000 0.0000 Zn
0.2500 0.2500 0.2500 Ce
```

Properties
Its density of states at the Fermi level is 6.256 states/eV/cell. For the formation energy, the calculation gives -0.51 eV/atom.

=====

What is the formula in the third record?
YMg2Rh2